Entry 1:
5
Lattice="4.7990 0.0000 0.0000 0.0000 4.8993 0.0000 0.0000 0.0000 4.7990" Properties=species:S:1:pos:R:3 comment="Mg2TaTiIr, relaxed, DFT PBE" formation_energy_ev_per_atom=0.628 total_energy_ev_per_atom=-5.731 dos_ef_per_ev_atom=0.91 total_magnetization_mub_per_atom=0.00 sg="P4/mmm, No. 123" pbc="T T T"
Mg 0.0000 0.0000 2.3995
Mg 2.3995 0.0000 0.0000
Ir 0.0000 0.0000 0.0000
Ti 2.3995 2.4496 2.3995
Ta 0.0000 2.4496 0.0000

---

Entry 2:
14
Lattice="4.4332 0.0000 0.0000 2.2166 8.3933 0.1146 2.2166 2.3954 8.0451" Properties=species:S:1:pos:R:3 comment="Ca3Cd3Ga8, relaxed, DFT PBE" formation_energy_ev_per_atom=-0.356 total_energy_ev_per_atom=-2.711 dos_ef_per_ev_atom=0.27 total_magnetization_mub_per_atom=0.00 sg="Immm, No. 71" pbc="T T T"
Ca 4.4332 5.3944 4.0799
Ca 4.4332 2.1609 1.6344
Ca 4.4332 8.6278 6.5253
Cd 2.2166 0.0000 0.0000
Cd 2.2166 7.1989 1.6940
Cd 2.2166 3.5899 6.4657
Ga 4.4332 2.0848 5.0022
Ga 4.4332 8.7040 3.1575
Ga 4.4332 5.3809 0.6442
Ga 4.4332 5.4079 7.5155
Ga 6.6498 7.8892 4.3734
Ga 2.2166 2.8996 3.7863
Ga 6.6498 6.3561 6.4004
Ga 2.2166 4.4327 1.7593

---

Entry 3:
10
Lattice="-1.7168 2.1021 -2.0525 0.1699 -2.3023 -2.5000 -14.6134 -6.7946 5.2644" Properties=species:S:1:pos:R:3 comment="CeHo4Ru5, relaxed, DFT PBE" formation_energy_ev_per_atom=-0.386 total_energy_ev_per_atom=-7.448 dos_ef_per_ev_atom=0.71 total_magnetization_mub_per_atom=0.00 sg="P4/mmm, No. 123" pbc="T T T"
Ce 0.0000 0.0000 0.0000
Ho -2.9755 -1.3835 1.0719
Ho -5.8571 -2.7233 2.1100
Ho -8.7563 -4.0713 3.1544
Ho -11.6379 -5.4111 4.1925
Ru -2.1293 -0.7305 -1.7878
Ru -5.1453 -2.1328 -0.7013
Ru -8.0802 -3.4974 0.3560
Ru -11.0150 -4.8619 1.4132
Ru -14.0311 -6.2643 2.4998

---

Entry 4:
4
Lattice="2.9824 0.0000 0.0000 0.0000 2.9824 0.0000 0.0000 0.0000 8.8900" Properties=species:S:1:pos:R:3 comment="SbOs2Se, relaxed, DFT PBE" polymorph_energy_mev_per_atom=9 total_energy_ev_per_atom=-7.154 dos_ef_per_ev_atom=0.66 total_magnetization_mub_per_atom=0.00 sg="P4mm, No. 99" raw_formation_energy_ev_per_atom=0.362 pbc="T T T"
Os 0.0000 0.0000 0.1177
Os 1.4912 1.4912 1.9532
Sb 0.0000 0.0000 3.7892
Se 1.4912 1.4912 7.4751

---

Entry 5:
11
Lattice="-1.7892 -1.4657 4.0318 0.6413 -6.8209 -1.0443 5.9088 -0.5217 3.5833" Properties=species:S:1:pos:R:3 comment="Li8Zn2Pd, relaxed, DFT PBE" polymorph_energy_mev_per_atom=127 formation_energy_ev_per_atom=-0.051 total_energy_ev_per_atom=-2.147 dos_ef_per_ev_atom=0.34 total_magnetization_mub_per_atom=0.00 sg="C2/m, No. 12" pbc="T T T"
Li 2.5661 -2.5256 5.4504
Li 4.9021 -3.0452 3.4987
Li 0.0699 -3.1485 4.2063
Li 4.6909 -5.6597 2.3645
Li -0.1412 -5.7631 3.0721
Li 2.1948 -6.2827 1.1204
Li 2.1353 -3.4335 2.2432
Li 2.6256 -5.3747 4.3276
Zn 0.0292 -1.6119 2.1610
Zn 4.7317 -7.1963 4.4098
Pd 0.0000 0.0000 0.0000

---

Entry 6:
12
Lattice="7.6324 0.1820 1.1573 1.8707 6.4743 3.7736 0.1282 0.0780 7.7069" Properties=species:S:1:pos:R:3 comment="Ce5MgTe6, relaxed, DFT PBE" total_energy_ev_per_atom=-5.396 dos_ef_per_ev_atom=3.03 total_magnetization_mub_per_atom=0.10 sg="C2/m, No. 12" raw_formation_energy_ev_per_atom=-1.220 pbc="T T T"
Mg 0.0000 0.0000 0.0000
Te 6.0106 0.6627 3.6253
Te 2.9790 3.9841 5.0076
Te 2.3283 1.5589 1.1691
Te 7.1747 5.0974 3.7618
Te 6.6522 2.7502 7.6302
Te 3.6206 6.0715 9.0126
Ce 4.2269 1.2748 6.2483
Ce 0.6714 2.2042 3.7898
Ce 4.7515 3.3281 2.4654
Ce 1.3275 4.3481 7.6908
Ce 5.4044 5.4594 6.3896

---

Entry 7:
4
Lattice="4.4582 0.0000 0.0000 0.0000 4.4582 0.0000 0.0000 0.0000 3.5895" Properties=species:S:1:pos:R:3 comment="SiTePt2, relaxed, DFT PBE" polymorph_energy_mev_per_atom=485 total_energy_ev_per_atom=-5.066 dos_ef_per_ev_atom=0.50 total_magnetization_mub_per_atom=0.00 sg="P4/mmm, No. 123" raw_formation_energy_ev_per_atom=0.096 pbc="T T T"
Pt 0.0000 0.0000 0.0000
Pt 2.2291 2.2291 0.0000
Si 2.2291 0.0000 1.7948
Te 0.0000 2.2291 1.7948

---

Entry 8:
3
Lattice="6.3634 0.0020 -0.0021 5.6612 2.9054 0.0066 0.7022 0.1603 2.8990" Properties=species:S:1:pos:R:3 comment="TcRuPb, relaxed, DFT PBE" polymorph_energy_mev_per_atom=0 formation_energy_ev_per_atom=0.422 total_energy_ev_per_atom=-7.361 dos_ef_per_ev_atom=1.31 total_magnetization_mub_per_atom=0.00 sg="I4mm, No. 107" pbc="T T T"
Pb 12.0241 2.9072 0.0047
Ru 8.4850 2.0486 0.9094
Tc 4.2424 1.0192 1.9940

---

Entry 9:
4
Lattice="5.6290 0.0000 0.0000 2.8145 4.8748 0.0000 2.8145 1.6249 4.5960" Properties=species:S:1:pos:R:3 comment="KMgTlBi, relaxed, DFT PBE" formation_energy_ev_per_atom=-0.129 total_energy_ev_per_atom=-2.364 dos_ef_per_ev_atom=0.54 total_magnetization_mub_per_atom=0.00 sg="F-43m, No. 216" pbc="T T T"
K 2.8145 1.6249 1.1490
Tl 0.0000 0.0000 0.0000
Mg 8.4434 4.8748 3.4470
Bi 5.6290 3.2499 2.2980